A plane-wave DFT calculation with PBE was carried out for an optimized crystal structure of ZrPdIO2.

a b c (Å): 4.165 4.165 5.085
angles (deg): 90.00 90.00 90.00
Atoms (fractional coordinates):
Zr (0.000, 0.000, 0.000)
Pd (0.500, 0.500, 0.500)
I (0.500, 0.500, 0.000)
O (0.000, 0.500, 0.500)
O (0.500, 0.000, 0.500)

- uncorrected formation energy (eV per atom) = 0.076
- energy relative to the lowest polymorph listed for this composition (eV/atom) = 1.4766
- calculated volume (Å³/cell) = 88
- N(E_F) (states/eV per atom) = 0.5146